(1)
Ac2VGa: optimized geometry, GGA-PBE.

DFT formation energy	0.624	eV/atom
space group	R-3m, No. 166

a b c (Å): 11.2875 11.2875 11.2875
angles (deg): 18.90 18.90 18.90
Last column: nearest neighbours and their distance in Å.
Sites, in units of the cell vectors:
Ac 0.0930 0.0930 0.0930  1 V 3.09, 3 Ga 3.25
Ac 0.9070 0.9070 0.9070  1 V 3.09, 3 Ga 3.25
V 0.0000 0.0000 0.0000  2 Ac 3.09
Ga 0.5000 0.5000 0.5000  6 Ac 3.25

***

(2)
Ti2TlO: optimized geometry, GGA-PBE.

space group	R-3m, No. 166
distance to the lowest polymorph of the same formula	0.0	meV/atom

a b c (Å): 6.9305 6.9305 6.9305
angles (deg): 27.16 27.16 27.16
Last column: nearest neighbours and their distance in Å.
Sites, in units of the cell vectors:
Ti 0.2157 0.2157 0.2157  3 O 2.12
Ti 0.7843 0.7843 0.7843  3 O 2.12
Tl 0.0000 0.0000 0.0000  6 Ti 3.01, 6 Tl 3.26
O 0.5000 0.5000 0.5000  6 Ti 2.12

***

(3)
GaAs3I: optimized geometry, GGA-PBE.

space group	Pm-3m, No. 221
distance to the lowest polymorph of the same formula	0.0	meV/atom

a b c (Å): 5.0199 5.0199 5.0199
angles (deg): 90.00 90.00 90.00
Last column: nearest neighbours and their distance in Å.
Sites, in units of the cell vectors:
Ga 0.0000 0.0000 0.0000  6 As 2.51
As 0.0000 0.0000 0.5000  2 Ga 2.51
As 0.0000 0.5000 0.0000  2 Ga 2.51
As 0.5000 0.0000 0.0000  2 Ga 2.51
I 0.5000 0.5000 0.5000  12 As 3.55

***

| no. | energy (eV per cell) | N(E_F) (states/eV per cell) |
| --- | --- | --- |
| 1 | -17.87 | 3.5 |
| 2 | -27.82 | 2.2 |
| 3 | -14.96 | 4.3 |